Ca5Dy12Sc3: relaxed, PBE.

```
data_Ca5Dy12Sc3
_cell_length_a 19.2458
_cell_length_b 19.2458
_cell_length_c 19.2458
_cell_angle_alpha 90.00
_cell_angle_beta 90.00
_cell_angle_gamma 90.00
_symmetry_space_group_name_H-M 'I a -3 d'
_symmetry_Int_Tables_number 230
_symmetry_space_group_name_Hall '-I 4bd 2c 3'
loop_
_atom_site_label
_atom_site_type_symbol
_atom_site_fract_x
_atom_site_fract_y
_atom_site_fract_z
Ca1 Ca 0.0000 0.0000 0.0000
Ca2 Ca 0.0000 0.2500 0.3750
Dy1 Dy 0.0015 0.0913 0.1441
Sc1 Sc 0.0000 0.2500 0.1250
```

Magnetization = 0.00 μB/f.u.
Formation energy = 18.305 eV/f.u.



CaDy2Sc: relaxed, PBE.

```
data_CaDy2Sc
_cell_length_a 3.4790
_cell_length_b 3.4790
_cell_length_c 36.7042
_cell_angle_alpha 90.00
_cell_angle_beta 90.00
_cell_angle_gamma 120.00
_symmetry_space_group_name_H-M 'R -3 m'
_symmetry_Int_Tables_number 166
_symmetry_space_group_name_Hall '-R 3 2"'
loop_
_atom_site_label
_atom_site_type_symbol
_atom_site_fract_x
_atom_site_fract_y
_atom_site_fract_z
Ca1 Ca 0.0000 0.0000 0.0000
Dy1 Dy 0.0000 0.0000 0.0939
Sc1 Sc 0.0000 0.0000 0.5000
```

Magnetization = 0.00 μB/f.u.
Formation energy = 0.733 eV/f.u.



CaDy2Sc: relaxed, PBE.

```
data_CaDy2Sc
_cell_length_a 3.5274
_cell_length_b 3.5274
_cell_length_c 35.1794
_cell_angle_alpha 90.00
_cell_angle_beta 90.00
_cell_angle_gamma 120.00
_symmetry_space_group_name_H-M 'R 3 m'
_symmetry_Int_Tables_number 160
_symmetry_space_group_name_Hall 'R 3 -2"'
loop_
_atom_site_label
_atom_site_type_symbol
_atom_site_fract_x
_atom_site_fract_y
_atom_site_fract_z
Ca1 Ca 0.0000 0.0000 0.0000
Dy1 Dy 0.0000 0.0000 0.5750
Dy2 Dy 0.0000 0.0000 0.7578
Sc1 Sc 0.0000 0.0000 0.1661
```

Magnetization = 0.00 μB/f.u.
Formation energy = 0.352 eV/f.u.



Ca3Dy2ScSe6: relaxed, PBE.

```
data_Ca3Dy2ScSe6
_cell_length_a 7.0585
_cell_length_b 12.2118
_cell_length_c 7.1810
_cell_angle_alpha 90.00
_cell_angle_beta 109.17
_cell_angle_gamma 90.00
_symmetry_space_group_name_H-M 'C 1 2/m 1'
_symmetry_Int_Tables_number 12
loop_
_symmetry_equiv_pos_as_xyz
'x,y,z'
'-x,-y,-z'
'-x,y,-z'
'x,-y,z'
'x+1/2,y+1/2,z'
'-x+1/2,-y+1/2,-z'
'-x+1/2,y+1/2,-z'
'x+1/2,-y+1/2,z'
loop_
_atom_site_label
_atom_site_type_symbol
_atom_site_fract_x
_atom_site_fract_y
_atom_site_fract_z
Ca1 Ca 0.0000 0.0000 0.0000
Ca2 Ca 0.0000 0.3310 0.0000
Dy1 Dy 0.0000 0.1663 0.5000
Sc1 Sc 0.0000 0.5000 0.5000
Se1 Se 0.2429 0.3372 0.7405
Se2 Se 0.2448 0.5000 0.2579
```

Magnetization = 0.00 μB/f.u.
Formation energy (no corrections) = -1.839 eV/atom



Ca3Dy3ScSe8: relaxed, PBE.

```
data_Ca3Dy3ScSe8
_cell_length_a 8.1414
_cell_length_b 8.1414
_cell_length_c 20.4987
_cell_angle_alpha 90.00
_cell_angle_beta 90.00
_cell_angle_gamma 120.00
_symmetry_space_group_name_H-M 'R -3 m'
_symmetry_Int_Tables_number 166
_symmetry_space_group_name_Hall '-R 3 2"'
loop_
_atom_site_label
_atom_site_type_symbol
_atom_site_fract_x
_atom_site_fract_y
_atom_site_fract_z
Ca1 Ca 0.0000 0.5000 0.0000
Dy1 Dy 0.0000 0.5000 0.5000
Sc1 Sc 0.0000 0.0000 0.5000
Se1 Se 0.0000 0.0000 0.2485
Se2 Se 0.0095 0.5048 0.2449
```

Magnetization = 0.00 μB/f.u.
Formation energy (no corrections) = -1.893 eV/atom



CaDySc2Se4: relaxed, PBE.

```
data_CaDySc2Se4
_cell_length_a 6.9273
_cell_length_b 3.9780
_cell_length_c 6.9391
_cell_angle_alpha 90.00
_cell_angle_beta 109.13
_cell_angle_gamma 90.00
_symmetry_space_group_name_H-M 'P 1 2/m 1'
_symmetry_Int_Tables_number 10
loop_
_symmetry_equiv_pos_as_xyz
'x,y,z'
'-x,-y,-z'
'-x,y,-z'
'x,-y,z'
loop_
_atom_site_label
_atom_site_type_symbol
_atom_site_fract_x
_atom_site_fract_y
_atom_site_fract_z
Ca1 Ca 0.0000 0.0000 0.0000
Dy1 Dy 0.0000 0.5000 0.5000
Sc1 Sc 0.5000 0.0000 0.5000
Sc2 Sc 0.5000 0.5000 0.0000
Se1 Se 0.2648 0.0000 0.7543
Se2 Se 0.2660 0.5000 0.2566
```

Magnetization = 0.00 μB/f.u.
Formation energy (no corrections) = -1.720 eV/atom